# Mg2CI

Mg2CI after structural relaxation (PBE, the Alexandria database).

- energy above the lowest structure with this stoichiometry (meV/atom) = 886
- formation energy from raw total energies (eV per formula unit) = 4.541
- volume (Å³ per cell) = 77.0

Lattice parameters (Å, degrees): 4.7748 4.7748 4.7748 60.00 60.00 60.00
Element x y z (fractional)
Mg: 0.2500 0.2500 0.2500
Mg: 0.7500 0.7500 0.7500
C: 0.0000 0.0000 0.0000
I: 0.5000 0.5000 0.5000


# Li8Hf3

Li8Hf3 after structural relaxation (PBE, the Alexandria database).

- ΔE_f (eV/atom) = 0.26
- volume (Å³ per cell) = 418.0

Lattice parameters (Å, degrees): 8.1582 8.1582 8.1582 109.47 109.47 109.47
Element x y z (fractional)
Li: 0.0000 0.0000 0.5000
Li: 0.0000 0.3523 0.6477
Li: 0.0000 0.5000 0.0000
Li: 0.0000 0.6477 0.3523
Li: 0.2954 0.6477 0.6477
Li: 0.3523 0.0000 0.6477
Li: 0.3523 0.3523 0.7046
Li: 0.3523 0.6477 0.0000
Li: 0.3523 0.7046 0.3523
Li: 0.5000 0.0000 0.0000
Li: 0.5000 0.5000 0.5000
Li: 0.6477 0.0000 0.3523
Li: 0.6477 0.2954 0.6477
Li: 0.6477 0.3523 0.0000
Li: 0.6477 0.6477 0.2954
Li: 0.7046 0.3523 0.3523
Hf: 0.0000 0.2256 0.2256
Hf: 0.0000 0.7744 0.7744
Hf: 0.2256 0.0000 0.2256
Hf: 0.2256 0.2256 0.0000
Hf: 0.7744 0.0000 0.7744
Hf: 0.7744 0.7744 0.0000


# BaZrRh2

BaZrRh2 after structural relaxation (PBE, the Alexandria database).

- ΔE_f (eV/atom) = 0.19
- volume (Å³ per cell) = 87.2

Lattice parameters (Å, degrees): 6.0113 6.0113 6.0113 140.48 140.48 57.12
Element x y z (fractional)
Ba: 0.0000 0.0000 0.0000
Zr: 0.7500 0.2500 0.5000
Rh: 0.2500 0.7500 0.5000
Rh: 0.5000 0.5000 0.0000


# BaSr2Pd2

BaSr2Pd2 after structural relaxation (PBE, the Alexandria database).

- energy above the lowest structure with this stoichiometry (meV/atom) = 57
- ΔE_f (eV/atom) = -0.43
- volume (Å³ per cell) = 174.4

Lattice parameters (Å, degrees): 6.7132 6.7132 6.2426 104.41 104.41 40.00
Element x y z (fractional)
Ba: 0.0000 0.0000 0.0000
Sr: 0.3390 0.3390 0.3850
Sr: 0.6610 0.6610 0.6150
Pd: 0.2909 0.2909 0.8783
Pd: 0.7091 0.7091 0.1217


# CePuZrNb

CePuZrNb after structural relaxation (PBE, the Alexandria database).

- ΔE_f (eV/atom) = 0.16
- volume (Å³ per cell) = 91.2

Lattice parameters (Å, degrees): 5.0533 5.0533 5.0533 60.00 60.00 60.00
Element x y z (fractional)
Ce: 0.0000 0.0000 0.0000
Pu: 0.2500 0.2500 0.2500
Zr: 0.5000 0.5000 0.5000
Nb: 0.7500 0.7500 0.7500


# Mg2ZrCu2

Mg2ZrCu2 after structural relaxation (PBE, the Alexandria database).

- energy above the lowest structure with this stoichiometry (meV/atom) = 0
- ΔE_f (eV/atom) = 0.02
- volume (Å³ per cell) = 174.5

Lattice parameters (Å, degrees): 7.6245 7.6245 3.0019 90.00 90.00 90.00
Element x y z (fractional)
Mg: 0.1616 0.3384 0.0000
Mg: 0.3384 0.8384 0.0000
Mg: 0.6616 0.1616 0.0000
Mg: 0.8384 0.6616 0.0000
Zr: 0.0000 0.0000 0.5000
Zr: 0.5000 0.5000 0.5000
Cu: 0.1332 0.6332 0.5000
Cu: 0.3668 0.1332 0.5000
Cu: 0.6332 0.8668 0.5000
Cu: 0.8668 0.3668 0.5000


For reference, total moment by record: 0.000, 0.000, 0.000, 0.000, 1.540, 0.000 μB/atom.